Entry 1:
The following is a DFT calculation (GGA-PBE) of ZrSb after structural relaxation.

abc: 5.4172 8.5130 8.5130
angles: 142.12 90.00 90.00
Element x y z (fractional)
Zr  0.0000  0.0000  0.0000
Zr  0.0000  0.0923  0.7080
Zr  0.0000  0.7080  0.0923
Zr  0.5000  0.1968  0.5857
Zr  0.5000  0.5857  0.1968
Sb  0.0000  0.2873  0.5318
Sb  0.0000  0.5318  0.2873
Sb  0.5000  0.0043  0.7697
Sb  0.5000  0.3428  0.3428
Sb  0.5000  0.7697  0.0043

## Properties
The total energy comes out at -68.0 eV/cell. The symmetry is No. 38.


Entry 2:
The following is a DFT calculation (GGA-PBE) of Zr3Sb after structural relaxation.

abc: 8.5477 8.5477 8.5477
angles: 96.41 96.41 140.95
Element x y z (fractional)
Zr  0.0413  0.3548  0.4750
Zr  0.0832  0.2018  0.8332
Zr  0.2024  0.6715  0.9016
Zr  0.3285  0.2301  0.5309
Zr  0.3686  0.2500  0.1668
Zr  0.4336  0.9587  0.3135
Zr  0.6452  0.1202  0.6865
Zr  0.6991  0.7976  0.4691
Zr  0.7500  0.9168  0.1186
Zr  0.7699  0.3009  0.0984
Zr  0.7982  0.6314  0.8814
Zr  0.8798  0.5664  0.5250
Sb  0.2424  0.4875  0.1765
Sb  0.3109  0.0659  0.8235
Sb  0.5125  0.6891  0.7550
Sb  0.9341  0.7576  0.2450

## Properties
The total energy comes out at -127.0 eV/cell. The symmetry is No. 82.


Entry 3:
The following is a DFT calculation (GGA-PBE) of Zr3Sb after structural relaxation.

abc: 6.0001 11.2039 5.4127
angles: 90.00 90.00 90.00
Element x y z (fractional)
Zr  0.0000  0.0816  0.2500
Zr  0.0000  0.9184  0.7500
Zr  0.2478  0.3367  0.2500
Zr  0.2478  0.6633  0.7500
Zr  0.2522  0.1633  0.7500
Zr  0.2522  0.8367  0.2500
Zr  0.5000  0.4184  0.7500
Zr  0.5000  0.5816  0.2500
Zr  0.7478  0.1633  0.7500
Zr  0.7478  0.8367  0.2500
Zr  0.7522  0.3367  0.2500
Zr  0.7522  0.6633  0.7500
Sb  0.0000  0.4043  0.7500
Sb  0.0000  0.5957  0.2500
Sb  0.5000  0.0957  0.2500
Sb  0.5000  0.9043  0.7500

## Properties
The total energy comes out at -123.9 eV/cell. The symmetry is No. 63.


Entry 4:
The following is a DFT calculation (GGA-PBE) of Zr3Sb after structural relaxation.

abc: 5.1568 6.0898 5.6665
angles: 90.00 90.00 90.00
Element x y z (fractional)
Zr  0.2500  0.0011  0.1462
Zr  0.2500  0.4989  0.1462
Zr  0.2500  0.7500  0.6391
Zr  0.7500  0.2500  0.3609
Zr  0.7500  0.5011  0.8538
Zr  0.7500  0.9989  0.8538
Sb  0.2500  0.2500  0.6598
Sb  0.7500  0.7500  0.3402

## Properties
The total energy comes out at -62.5 eV/cell. The symmetry is No. 59.


Entry 5:
The following is a DFT calculation (GGA-PBE) of ZrSb after structural relaxation.

abc: 6.1000 5.4599 8.9162
angles: 90.00 104.60 90.00
Element x y z (fractional)
Zr  0.1364  0.2500  0.2872
Zr  0.2020  0.7500  0.0860
Zr  0.2775  0.2500  0.9010
Zr  0.7225  0.7500  0.0990
Zr  0.7980  0.2500  0.9140
Zr  0.8636  0.7500  0.7128
Sb  0.0346  0.7500  0.4000
Sb  0.3982  0.7500  0.8022
Sb  0.4785  0.2500  0.6058
Sb  0.5215  0.7500  0.3942
Sb  0.6018  0.2500  0.1978
Sb  0.9654  0.2500  0.6000

## Properties
The total energy comes out at -80.3 eV/cell. The symmetry is No. 11.


Entry 6:
The following is a DFT calculation (GGA-PBE) of ZrSb after structural relaxation.

abc: 4.0816 4.4296 10.4001
angles: 90.00 90.00 90.00
Element x y z (fractional)
Zr  0.2500  0.2500  0.0056
Zr  0.2500  0.7500  0.7169
Zr  0.7500  0.2500  0.2831
Zr  0.7500  0.7500  0.9944
Sb  0.2500  0.2500  0.5029
Sb  0.2500  0.7500  0.2035
Sb  0.7500  0.2500  0.7965
Sb  0.7500  0.7500  0.4971

## Properties
The total energy comes out at -54.8 eV/cell. The symmetry is No. 59.


Entry 7:
The following is a DFT calculation (GGA-PBE) of ZrSb after structural relaxation.

abc: 7.6099 5.0591 7.7876
angles: 90.00 106.61 90.00
Element x y z (fractional)
Zr  0.0132  0.2500  0.3725
Zr  0.0415  0.7500  0.1358
Zr  0.3625  0.7500  0.9537
Zr  0.6375  0.2500  0.0463
Zr  0.9585  0.2500  0.8642
Zr  0.9868  0.7500  0.6275
Sb  0.2840  0.2500  0.7338
Sb  0.2954  0.2500  0.1668
Sb  0.3093  0.7500  0.4906
Sb  0.6907  0.2500  0.5094
Sb  0.7046  0.7500  0.8332
Sb  0.7160  0.7500  0.2662

## Properties
The total energy comes out at -81.1 eV/cell. The symmetry is No. 11.


Entry 8:
The following is a DFT calculation (GGA-PBE) of Zr5Sb4 after structural relaxation.

abc: 8.8387 8.8387 5.9587
angles: 90.00 90.00 120.00
Element x y z (fractional)
Zr  0.0000  0.2811  0.2500
Zr  0.0000  0.7189  0.7500
Zr  0.2811  0.0000  0.2500
Zr  0.2811  0.2811  0.7500
Zr  0.3333  0.6667  0.0000
Zr  0.3333  0.6667  0.5000
Zr  0.6667  0.3333  0.0000
Zr  0.6667  0.3333  0.5000
Zr  0.7189  0.0000  0.7500
Zr  0.7189  0.7189  0.2500
Sb  0.0000  0.0000  0.0000
Sb  0.0000  0.0000  0.5000
Sb  0.0000  0.3889  0.7500
Sb  0.0000  0.6111  0.2500
Sb  0.3889  0.0000  0.7500
Sb  0.3889  0.3889  0.2500
Sb  0.6111  0.0000  0.2500
Sb  0.6111  0.6111  0.7500

## Properties
The total energy comes out at -130.7 eV/cell. The symmetry is No. 193.


Entry 9:
The following is a DFT calculation (GGA-PBE) of ZrSb after structural relaxation.

abc: 3.2329 5.7349 5.0814
angles: 90.00 90.00 90.00
Element x y z (fractional)
Zr  0.2500  0.2500  0.1442
Zr  0.7500  0.7500  0.8558
Sb  0.2500  0.7500  0.3457
Sb  0.7500  0.2500  0.6543

## Properties
The total energy comes out at -27.1 eV/cell. The symmetry is No. 59.


Entry 10:
The following is a DFT calculation (GGA-PBE) of ZrSb after structural relaxation.

abc: 5.2266 13.6232 5.4614
angles: 90.00 90.00 90.00
Element x y z (fractional)
Zr  0.2500  0.0182  0.1508
Zr  0.2500  0.1418  0.6454
Zr  0.2500  0.3582  0.6454
Zr  0.2500  0.4818  0.1508
Zr  0.7500  0.5182  0.8492
Zr  0.7500  0.6418  0.3546
Zr  0.7500  0.8582  0.3546
Zr  0.7500  0.9818  0.8492
Sb  0.2500  0.2500  0.1456
Sb  0.2500  0.5769  0.6533
Sb  0.2500  0.7500  0.2073
Sb  0.2500  0.9231  0.6533
Sb  0.7500  0.0769  0.3467
Sb  0.7500  0.2500  0.7927
Sb  0.7500  0.4231  0.3467
Sb  0.7500  0.7500  0.8544

## Properties
The total energy comes out at -107.0 eV/cell. The symmetry is No. 59.


Entry 11:
The following is a DFT calculation (GGA-PBE) of ZrSb2 after structural relaxation.

abc: 6.0607 6.0607 6.0607
angles: 60.00 60.00 60.00
Element x y z (fractional)
Zr  0.1250  0.1250  0.1250
Zr  0.8750  0.8750  0.8750
Sb  0.0000  0.5000  0.5000
Sb  0.5000  0.0000  0.5000
Sb  0.5000  0.5000  0.0000
Sb  0.5000  0.5000  0.5000

## Properties
The total energy comes out at -31.3 eV/cell. The symmetry is No. 227.


Entry 12:
The following is a DFT calculation (GGA-PBE) of ZrSb after structural relaxation.

abc: 5.3266 12.8552 5.4485
angles: 90.00 90.00 90.00
Element x y z (fractional)
Zr  0.2500  0.1108  0.1744
Zr  0.2500  0.2500  0.6788
Zr  0.2500  0.3892  0.1744
Zr  0.2500  0.7500  0.6748
Zr  0.7500  0.2500  0.3252
Zr  0.7500  0.6108  0.8256
Zr  0.7500  0.7500  0.3212
Zr  0.7500  0.8892  0.8256
Sb  0.2500  0.5043  0.6705
Sb  0.2500  0.6320  0.1657
Sb  0.2500  0.8680  0.1657
Sb  0.2500  0.9957  0.6705
Sb  0.7500  0.0043  0.3295
Sb  0.7500  0.1320  0.8343
Sb  0.7500  0.3680  0.8343
Sb  0.7500  0.4957  0.3295

## Properties
The total energy comes out at -106.4 eV/cell. The symmetry is No. 59.


Entry 13:
The following is a DFT calculation (GGA-PBE) of Zr3Sb after structural relaxation.

abc: 6.2803 6.2803 5.1899
angles: 90.00 90.00 120.00
Element x y z (fractional)
Zr  0.1662  0.3323  0.2500
Zr  0.1662  0.8338  0.2500
Zr  0.3323  0.1662  0.7500
Zr  0.6677  0.8338  0.2500
Zr  0.8338  0.1662  0.7500
Zr  0.8338  0.6677  0.7500
Sb  0.3333  0.6667  0.7500
Sb  0.6667  0.3333  0.2500

## Properties
The total energy comes out at -62.7 eV/cell. The symmetry is No. 194.


Entry 14:
The following is a DFT calculation (GGA-PBE) of ZrSb after structural relaxation.

abc: 6.0689 5.4418 9.0626
angles: 90.00 106.62 90.00
Element x y z (fractional)
Zr  0.0071  0.2500  0.1153
Zr  0.1464  0.2500  0.7373
Zr  0.4921  0.2500  0.0996
Zr  0.5079  0.7500  0.9004
Zr  0.8536  0.7500  0.2627
Zr  0.9929  0.7500  0.8847
Sb  0.1472  0.7500  0.6011
Sb  0.3263  0.7500  0.1827
Sb  0.3710  0.2500  0.4312
Sb  0.6290  0.7500  0.5688
Sb  0.6737  0.2500  0.8173
Sb  0.8528  0.2500  0.3989

## Properties
The total energy comes out at -79.9 eV/cell. The symmetry is No. 11.


Entry 15:
The following is a DFT calculation (GGA-PBE) of ZrSb2 after structural relaxation.

abc: 10.0668 15.0850 3.9306
angles: 90.00 90.00 90.00
Element x y z (fractional)
Zr  0.0218  0.2489  0.0000
Zr  0.1685  0.9932  0.0000
Zr  0.3315  0.4932  0.5000
Zr  0.4782  0.7489  0.5000
Zr  0.5218  0.2511  0.5000
Zr  0.6685  0.5068  0.5000
Zr  0.8315  0.0068  0.0000
Zr  0.9782  0.7511  0.0000
Sb  0.0117  0.1027  0.5000
Sb  0.1170  0.4418  0.0000
Sb  0.1594  0.6565  0.5000
Sb  0.2312  0.3013  0.5000
Sb  0.2688  0.8013  0.0000
Sb  0.3406  0.1565  0.0000
Sb  0.3830  0.9418  0.5000
Sb  0.4883  0.6027  0.0000
Sb  0.5117  0.3973  0.0000
Sb  0.6170  0.0582  0.5000
Sb  0.6594  0.8435  0.0000
Sb  0.7312  0.1987  0.0000
Sb  0.7688  0.6987  0.5000
Sb  0.8406  0.3435  0.5000
Sb  0.8830  0.5582  0.0000
Sb  0.9883  0.8973  0.5000

## Properties
The total energy comes out at -147.8 eV/cell. The symmetry is No. 58.


Entry 16:
The following is a DFT calculation (GGA-PBE) of ZrSb after structural relaxation.

abc: 6.3836 6.3836 5.3024
angles: 90.00 90.00 120.00
Element x y z (fractional)
Zr  0.0000  0.0000  0.0000
Zr  0.1662  0.3324  0.5000
Zr  0.1662  0.8338  0.5000
Zr  0.6676  0.8338  0.5000
Sb  0.0084  0.5042  0.0000
Sb  0.4958  0.5042  0.0000
Sb  0.4958  0.9916  0.0000
Sb  0.6667  0.3333  0.5000

## Properties
The total energy comes out at -52.3 eV/cell. The symmetry is No. 187.


Entry 17:
The following is a DFT calculation (GGA-PBE) of ZrSb after structural relaxation.

abc: 5.4517 5.9232 11.8117
angles: 90.00 90.00 90.00
Element x y z (fractional)
Zr  0.2500  0.9997  0.0697
Zr  0.2500  0.2500  0.3437
Zr  0.2500  0.2500  0.7972
Zr  0.2500  0.5003  0.0697
Zr  0.7500  0.0003  0.9303
Zr  0.7500  0.4997  0.9303
Zr  0.7500  0.7500  0.2028
Zr  0.7500  0.7500  0.6563
Sb  0.2500  0.5063  0.5730
Sb  0.2500  0.7500  0.2844
Sb  0.2500  0.7500  0.8511
Sb  0.2500  0.9937  0.5730
Sb  0.7500  0.0063  0.4270
Sb  0.7500  0.2500  0.1489
Sb  0.7500  0.2500  0.7156
Sb  0.7500  0.4937  0.4270

## Properties
The total energy comes out at -107.4 eV/cell. The symmetry is No. 59.


Entry 18:
The following is a DFT calculation (GGA-PBE) of Sc after structural relaxation.

abc: 9.6884 9.6884 9.6884
angles: 109.47 109.47 109.47
Element x y z (fractional)
Sc  0.0000  0.0000  0.0000
Sc  0.0000  0.0000  0.3469
Sc  0.0000  0.3107  0.5781
Sc  0.0000  0.3469  0.0000
Sc  0.0000  0.5781  0.3107
Sc  0.0000  0.6270  0.8110
Sc  0.0000  0.8110  0.6270
Sc  0.1840  0.3730  0.3730
Sc  0.1890  0.1890  0.8160
Sc  0.1890  0.8160  0.1890
Sc  0.2674  0.6893  0.6893
Sc  0.3107  0.0000  0.5781
Sc  0.3107  0.5781  0.0000
Sc  0.3469  0.0000  0.0000
Sc  0.3730  0.1840  0.3730
Sc  0.3730  0.3730  0.1840
Sc  0.4219  0.4219  0.7326
Sc  0.4219  0.7326  0.4219
Sc  0.5781  0.0000  0.3107
Sc  0.5781  0.3107  0.0000
Sc  0.6270  0.0000  0.8110
Sc  0.6270  0.8110  0.0000
Sc  0.6531  0.6531  0.6531
Sc  0.6893  0.2674  0.6893
Sc  0.6893  0.6893  0.2674
Sc  0.7326  0.4219  0.4219
Sc  0.8110  0.0000  0.6270
Sc  0.8110  0.6270  0.0000
Sc  0.8160  0.1890  0.1890

## Properties
As for the formation energy: 0.182 eV per atom. The symmetry is No. 217.


Entry 19:
The following is a DFT calculation (GGA-PBE) of Sc after structural relaxation.

abc: 3.3197 3.3197 7.0219
angles: 90.00 90.00 120.00
Element x y z (fractional)
Sc  0.0000  0.0000  0.0000
Sc  0.3333  0.6667  0.6667
Sc  0.6667  0.3333  0.3333

## Properties
As for the formation energy: 0.165 eV per atom. The symmetry is No. 166.


Entry 20:
The following is a DFT calculation (GGA-PBE) of Sc after structural relaxation.

abc: 3.1456 5.8349 5.1284
angles: 90.00 90.00 90.00
Element x y z (fractional)
Sc  0.0000  0.1579  0.2500
Sc  0.0000  0.8421  0.7500
Sc  0.5000  0.3421  0.7500
Sc  0.5000  0.6579  0.2500

## Properties
As for the formation energy: 0.020 eV per atom. The symmetry is No. 63.